No. 1
Compound: Tm2AlGa8
Source: Alexandria via LeMat-Bulk
Functional: PBE
Structure: relaxed

Cell lengths 4.3846, 4.3846, 11.0757 Å; angles 90.00, 90.00, 90.00 degrees
Positions (direct):
Tm (0.0000, 0.0000, 0.3131)
Tm (0.0000, 0.0000, 0.6869)
Al (0.0000, 0.0000, 0.0000)
Ga (0.0000, 0.5000, 0.5000)
Ga (0.5000, 0.0000, 0.5000)
Ga (0.5000, 0.5000, 0.3163)
Ga (0.5000, 0.5000, 0.6837)
Ga (0.0000, 0.5000, 0.1309)
Ga (0.5000, 0.0000, 0.1309)
Ga (0.0000, 0.5000, 0.8691)
Ga (0.5000, 0.0000, 0.8691)

Calculated values
The calculation puts the density of states at the Fermi level at 3.92 states/eV per cell. As for the formation energy from the elements: -3.6 eV/f.u. For the total DFT energy (no corrections), the calculation gives -3.69 eV/atom.

=====

No. 2
Compound: TmAl2Ga6
Source: Alexandria via LeMat-Bulk
Functional: PBE
Structure: relaxed

Cell lengths 4.0403, 6.2954, 8.5936 Å; angles 100.76, 90.00, 108.72 degrees
Positions (direct):
Tm (0.0000, 0.0000, 0.5000)
Al (0.8010, 0.6020, 0.9203)
Al (0.1990, 0.3980, 0.0797)
Ga (0.9988, 0.9975, 0.8465)
Ga (0.8015, 0.6029, 0.2342)
Ga (0.1985, 0.3971, 0.7658)
Ga (0.6912, 0.3823, 0.5569)
Ga (0.3088, 0.6177, 0.4431)
Ga (0.0012, 0.0025, 0.1535)

Calculated values
The calculation puts the density of states at the Fermi level at 3.89 states/eV per cell. As for the formation energy from the elements: 0.2 eV/f.u. For the total DFT energy (no corrections), the calculation gives -3.32 eV/atom.

=====

No. 3
Compound: Tm2Al2Ga3
Source: Alexandria via LeMat-Bulk
Functional: PBE
Structure: relaxed

Cell lengths 4.2385, 6.2889, 5.8283 Å; angles 103.75, 111.32, 90.00 degrees
Positions (direct):
Tm (0.6149, 0.8233, 0.2298)
Tm (0.3851, 0.1767, 0.7702)
Al (0.9015, 0.8328, 0.8030)
Al (0.0985, 0.1672, 0.1970)
Ga (0.0000, 0.5000, 0.0000)
Ga (0.2739, 0.6570, 0.5478)
Ga (0.7261, 0.3430, 0.4522)

Calculated values
The calculation puts the density of states at the Fermi level at 3.05 states/eV per cell. As for the formation energy from the elements: -2.9 eV/f.u. For the total DFT energy (no corrections), the calculation gives -4.06 eV/atom. The energy relative to the lowest polymorph listed for this composition is 27 meV per atom.

=====

No. 4
Compound: Tm5AlGa2
Source: Alexandria via LeMat-Bulk
Functional: PBE
Structure: relaxed

Cell lengths 7.5757, 7.5757, 8.8101 Å; angles 115.46, 115.46, 90.00 degrees
Positions (direct):
Tm (0.5214, 0.6856, 0.7070)
Tm (0.8144, 0.9786, 0.2930)
Tm (0.0000, 0.0000, 0.0000)
Tm (0.5000, 0.5000, 0.0000)
Tm (0.1856, 0.0214, 0.7070)
Tm (0.6856, 0.1856, 0.7070)
Tm (0.0214, 0.5214, 0.7070)
Tm (0.3144, 0.8144, 0.2930)
Tm (0.9786, 0.4786, 0.2930)
Tm (0.4786, 0.3144, 0.2930)
Al (0.7500, 0.7500, 0.5000)
Al (0.2500, 0.2500, 0.5000)
Ga (0.1240, 0.3760, 0.0000)
Ga (0.6240, 0.1240, 0.0000)
Ga (0.3760, 0.8760, 0.0000)
Ga (0.8760, 0.6240, 0.0000)

Calculated values
The calculation puts the density of states at the Fermi level at 11.02 states/eV per cell. As for the formation energy from the elements: -3.5 eV/f.u. For the total DFT energy (no corrections), the calculation gives -4.46 eV/atom. The energy relative to the lowest polymorph listed for this composition is 0 meV per atom.

=====

No. 5
Compound: Tm2AlGa
Source: Alexandria via LeMat-Bulk
Functional: PBE
Structure: relaxed

Cell lengths 4.3526, 4.0125, 5.8346 Å; angles 90.00, 111.90, 90.00 degrees
Positions (direct):
Tm (0.8079, 0.5000, 0.6158)
Tm (0.0880, 0.0000, 0.1759)
Al (0.5209, 0.5000, 0.0419)
Ga (0.3678, 0.0000, 0.7355)

Calculated values
The calculation puts the density of states at the Fermi level at 2.95 states/eV per cell. As for the formation energy from the elements: -2.0 eV/f.u. For the total DFT energy (no corrections), the calculation gives -4.43 eV/atom.

=====

No. 6
Compound: Tm2Al3Ga4
Source: Alexandria via LeMat-Bulk
Functional: PBE
Structure: relaxed

Cell lengths 5.7640, 7.7814, 8.1304 Å; angles 90.00, 110.76, 90.00 degrees
Positions (direct):
Tm (0.1120, 0.5867, 0.2240)
Tm (0.8880, 0.4133, 0.7760)
Tm (0.3880, 0.0867, 0.7760)
Tm (0.6120, 0.9133, 0.2240)
Al (0.0000, 0.0000, 0.0000)
Al (0.5000, 0.5000, 0.0000)
Al (0.5298, 0.7500, 0.5596)
Al (0.9702, 0.2500, 0.4404)
Al (0.4702, 0.2500, 0.4404)
Al (0.0298, 0.7500, 0.5596)
Ga (0.6986, 0.7500, 0.8972)
Ga (0.8014, 0.2500, 0.1028)
Ga (0.3014, 0.2500, 0.1028)
Ga (0.1986, 0.7500, 0.8972)
Ga (0.1801, 0.9608, 0.3603)
Ga (0.8199, 0.0392, 0.6397)
Ga (0.3199, 0.4608, 0.6397)
Ga (0.6801, 0.5392, 0.3603)

Calculated values
The calculation puts the density of states at the Fermi level at 7.07 states/eV per cell. As for the formation energy from the elements: -3.6 eV/f.u. For the total DFT energy (no corrections), the calculation gives -3.99 eV/atom.

=====

No. 7
Compound: Tm4Al2Ga
Source: Alexandria via LeMat-Bulk
Functional: PBE
Structure: relaxed

Cell lengths 4.9820, 4.9820, 8.6431 Å; angles 73.25, 73.25, 60.00 degrees
Positions (direct):
Tm (0.8730, 0.8730, 0.3809)
Tm (0.1270, 0.1270, 0.6191)
Tm (0.6215, 0.6215, 0.1356)
Tm (0.3785, 0.3785, 0.8644)
Al (0.7499, 0.7499, 0.7502)
Al (0.2501, 0.2501, 0.2498)
Ga (0.0000, 0.0000, 0.0000)

Calculated values
The calculation puts the density of states at the Fermi level at 6.63 states/eV per cell. As for the formation energy from the elements: -1.9 eV/f.u. For the total DFT energy (no corrections), the calculation gives -4.33 eV/atom. The energy relative to the lowest polymorph listed for this composition is 35 meV per atom.

=====

No. 8
Compound: Tm8Al2Ga
Source: Alexandria via LeMat-Bulk
Functional: PBE
Structure: relaxed

Cell lengths 4.9905, 6.6427, 9.3822 Å; angles 103.15, 105.42, 90.00 degrees
Positions (direct):
Tm (0.4064, 0.5399, 0.8128)
Tm (0.6560, 0.9676, 0.3121)
Tm (0.7929, 0.6991, 0.5859)
Tm (0.9779, 0.2314, 0.9558)
Tm (0.2071, 0.3009, 0.4141)
Tm (0.3440, 0.0324, 0.6879)
Tm (0.5936, 0.4601, 0.1872)
Tm (0.0221, 0.7686, 0.0442)
Al (0.8124, 0.2578, 0.6248)
Al (0.1876, 0.7422, 0.3752)
Ga (0.5000, 0.0000, 0.0000)

Calculated values
The calculation puts the density of states at the Fermi level at 10.63 states/eV per cell. As for the formation energy from the elements: -2.5 eV/f.u. For the total DFT energy (no corrections), the calculation gives -4.43 eV/atom.

=====

No. 9
Compound: TmAl2Ga4
Source: Alexandria via LeMat-Bulk
Functional: PBE
Structure: relaxed

Cell lengths 3.9834, 3.9834, 9.4771 Å; angles 90.00, 90.00, 90.00 degrees
Positions (direct):
Tm (0.0000, 0.0000, 0.0000)
Al (0.5000, 0.0000, 0.5000)
Al (0.0000, 0.5000, 0.5000)
Ga (0.7414, 0.2586, 0.7404)
Ga (0.2586, 0.2586, 0.2596)
Ga (0.2586, 0.7414, 0.7404)
Ga (0.7414, 0.7414, 0.2596)

Calculated values
The calculation puts the density of states at the Fermi level at 3.28 states/eV per cell. As for the formation energy from the elements: 0.3 eV/f.u. For the total DFT energy (no corrections), the calculation gives -3.40 eV/atom. The energy relative to the lowest polymorph listed for this composition is 196 meV per atom.

=====

No. 10
Compound: Tm2Al2Ga3
Source: Alexandria via LeMat-Bulk
Functional: PBE
Structure: relaxed

Cell lengths 4.1890, 7.3233, 9.3068 Å; angles 90.00, 103.01, 90.00 degrees
Positions (direct):
Tm (0.1527, 0.2500, 0.3054)
Tm (0.8473, 0.7500, 0.6946)
Tm (0.9473, 0.2500, 0.8947)
Tm (0.0527, 0.7500, 0.1053)
Al (0.6892, 0.9440, 0.3784)
Al (0.3108, 0.0560, 0.6216)
Al (0.3108, 0.4440, 0.6216)
Al (0.6892, 0.5560, 0.3784)
Ga (0.2261, 0.7500, 0.4522)
Ga (0.7739, 0.2500, 0.5478)
Ga (0.5595, 0.4253, 0.1190)
Ga (0.4405, 0.5747, 0.8810)
Ga (0.4405, 0.9253, 0.8810)
Ga (0.5595, 0.0747, 0.1190)

Calculated values
The calculation puts the density of states at the Fermi level at 8.34 states/eV per cell. As for the formation energy from the elements: -3.1 eV/f.u. For the total DFT energy (no corrections), the calculation gives -4.09 eV/atom. The energy relative to the lowest polymorph listed for this composition is 0 meV per atom.